Here is an optimized crystal structure of Sc5Ni4Au from Alexandria. Energies are from PBE.

Cell and atoms, written as CIF:
```
data_Sc5Ni4Au
_chemical_formula_sum 'Sc5 Ni4 Au1'
_cell_length_a 3.1840
_cell_length_b 3.1840
_cell_length_c 16.4872
_cell_angle_alpha 90.00
_cell_angle_beta 90.00
_cell_angle_gamma 90.00
_space_group_name_H-M_alt 'P 1'
_space_group_IT_number 1
loop_
_space_group_symop_operation_xyz
'x,y,z'
loop_
_atom_site_label
_atom_site_fract_x
_atom_site_fract_y
_atom_site_fract_z
_atom_site_occupancy
Sc1 0.5000 0.5000 0.1155 1
Sc2 0.5000 0.5000 0.3073 1
Sc3 0.5000 0.5000 0.5000 1
Sc4 0.5000 0.5000 0.6927 1
Sc5 0.5000 0.5000 0.8845 1
Ni1 0.0000 0.0000 0.2101 1
Ni2 0.0000 0.0000 0.4039 1
Ni3 0.0000 0.0000 0.5961 1
Ni4 0.0000 0.0000 0.7899 1
Au1 0.0000 0.0000 0.0000 1
```

For the total energy, the calculation gives -6.358 eV/atom. The energy of formation from the pure elements is -12.72 kcal/mol of atoms.